Compound: FeICl
Source: Alexandria via LeMat-Bulk
Functional: GGA-PBE
Structure: optimized geometry

extended XYZ file:
```
6
Lattice="3.588 0.000 0.000 -0.153 7.094 0.000 -1.737 -1.227 7.074" Properties=species:S:1:pos:R:3 pbc="T T T"
Fe -0.102 0.560 3.261
Fe 1.800 5.308 3.813
I -0.047 5.488 1.713
I 1.744 0.379 5.361
Cl -0.029 4.118 4.916
Cl 1.727 1.750 2.158
```

Calculated values
Excess energy over the best structure of this formula in the dataset, meV per atom: 4
Calculated density, Mg/m³: 4.02
Space group: P-1 (2)


Compound: FeI3Cl4
Source: Alexandria via LeMat-Bulk
Functional: GGA-PBE
Structure: optimized geometry

extended XYZ file:
```
8
Lattice="-5.105 5.922 2.970 5.105 -5.922 2.970 5.105 5.922 -2.970" Properties=species:S:1:pos:R:3 pbc="T T T"
Fe 0.000 0.000 0.000
I 5.105 2.143 -0.282
I 0.000 5.922 0.908
I 0.000 3.779 2.689
Cl 3.298 5.922 -1.778
Cl 1.807 0.000 1.192
Cl 5.105 4.055 1.731
Cl 0.000 1.867 4.701
```

Calculated values
Calculated density, Mg/m³: 2.67
Energy, eV per cell: -23.49
Space group: Imm2 (44)


Compound: Fe2I2Cl7
Source: Alexandria via LeMat-Bulk
Functional: GGA-PBE
Structure: optimized geometry

extended XYZ file:
```
11
Lattice="5.553 -5.621 0.000 5.553 5.621 0.000 -4.362 0.000 7.437" Properties=species:S:1:pos:R:3 pbc="T T T"
Fe 1.934 0.000 1.301
Fe 4.810 0.000 6.137
I 3.372 4.287 3.719
I 3.372 -4.287 3.719
Cl 0.000 0.000 0.000
Cl 1.779 1.770 2.565
Cl 3.648 0.000 0.004
Cl 1.779 -1.770 2.565
Cl 4.965 1.770 4.873
Cl 3.096 0.000 7.434
Cl 4.965 -1.770 4.873
```

Calculated values
Calculated density, Mg/m³: 2.19
Energy, eV per cell: -38.60
Space group: C2/m (12)


Compound: FeICl3
Source: Alexandria via LeMat-Bulk
Functional: GGA-PBE
Structure: optimized geometry

extended XYZ file:
```
10
Lattice="6.149 0.000 0.000 0.000 10.444 0.000 -1.051 0.000 6.554" Properties=species:S:1:pos:R:3 pbc="T T T"
Fe 0.434 2.611 1.380
Fe 4.664 7.833 5.174
I 1.032 7.833 0.651
I 4.066 2.611 5.903
Cl 0.030 7.833 3.639
Cl 1.685 0.870 1.460
Cl 1.685 4.352 1.460
Cl 3.412 6.092 5.094
Cl 3.412 9.574 5.094
Cl 5.068 2.611 2.915
```

Calculated values
Excess energy over the best structure of this formula in the dataset, meV per atom: 0
Calculated density, Mg/m³: 2.28
Space group: P2_1/m (11)


Compound: Fe2I8Cl
Source: Alexandria via LeMat-Bulk
Functional: GGA-PBE
Structure: optimized geometry

extended XYZ file:
```
11
Lattice="10.015 -4.051 0.000 10.015 4.051 0.000 -0.009 0.000 7.432" Properties=species:S:1:pos:R:3 pbc="T T T"
Fe 2.299 0.000 3.536
Fe 17.720 0.000 3.896
I 6.781 2.000 2.729
I 2.946 0.000 1.130
I 13.239 2.000 4.704
I 9.004 0.000 0.931
I 11.015 0.000 6.502
I 6.781 -2.000 2.729
I 17.074 0.000 6.302
I 13.239 -2.000 4.704
Cl -0.005 0.000 3.716
```

Calculated values
Calculated density, Mg/m³: 3.20
Energy, eV per cell: -32.49
Space group: C2/m (12)


Compound: Fe2ICl6
Source: Alexandria via LeMat-Bulk
Functional: GGA-PBE
Structure: optimized geometry

extended XYZ file:
```
18
Lattice="9.273 -6.446 0.000 9.273 6.446 0.000 -1.891 0.000 5.653" Properties=species:S:1:pos:R:3 pbc="T T T"
Fe 2.906 1.198 0.409
Fe 1.960 -1.198 3.235
Fe 14.695 1.198 2.418
Fe 13.749 -1.198 5.244
I 8.800 0.213 1.413
I 7.855 -0.213 4.239
Cl 1.129 0.920 3.759
Cl 5.919 3.689 4.962
Cl 4.811 1.501 1.335
Cl 2.075 -0.920 0.933
Cl 9.790 3.689 3.517
Cl 3.866 -1.501 4.161
Cl 12.790 1.501 1.492
Cl 6.865 -3.689 2.136
Cl 14.581 0.920 4.720
Cl 11.844 -1.501 4.318
Cl 10.736 -3.689 0.690
Cl 15.526 -0.920 1.894
```

Calculated values
Calculated density, Mg/m³: 2.22
Energy, eV per cell: -70.29
Space group: C2/c (15)